No. 1
This record from the Alexandria database describes RbNaTi2 after structural relaxation. The functional is PBE-GGA.

Geometry as CIF:
```
data_RbNaTi2
_chemical_formula_sum 'Rb4 Na4 Ti8'
_symmetry_space_group_name_H-M 'F m -3 m'
_symmetry_Int_Tables_number 225
_symmetry_space_group_name_Hall '-F 4 2 3'
_cell_length_a 7.921
_cell_length_b 7.921
_cell_length_c 7.921
_cell_angle_alpha 90.00
_cell_angle_beta 90.00
_cell_angle_gamma 90.00
loop_
_atom_site_label
_atom_site_fract_x
_atom_site_fract_y
_atom_site_fract_z
Rb1 0.000 0.000 0.000
Na1 0.000 0.000 0.500
Ti1 0.250 0.250 0.250
```

## Properties
For the energy, the calculation gives -3.01 eV/atom. Its calculated formation energy is 1.51 eV/atom. As for the crystal system: cubic.



No. 2
This record from the Alexandria database describes RbNaTi2 after structural relaxation. The functional is PBE-GGA.

Geometry as CIF:
```
data_RbNaTi2
_chemical_formula_sum 'Rb4 Na4 Ti8'
_symmetry_space_group_name_H-M 'I -4 2 d'
_symmetry_Int_Tables_number 122
_symmetry_space_group_name_Hall 'I -4 2bw'
_cell_length_a 4.144
_cell_length_b 4.144
_cell_length_c 25.647
_cell_angle_alpha 90.00
_cell_angle_beta 90.00
_cell_angle_gamma 90.00
loop_
_atom_site_label
_atom_site_fract_x
_atom_site_fract_y
_atom_site_fract_z
Rb1 0.000 0.000 0.000
Na1 0.000 0.000 0.500
Ti1 0.227 0.250 0.625
```

## Properties
For the energy, the calculation gives -3.36 eV/atom. Its calculated formation energy is 1.16 eV/atom. As for the crystal system: tetragonal.



No. 3
This record from the Alexandria database describes Rb3NaTi after structural relaxation. The functional is PBE-GGA.

Geometry as CIF:
```
data_Rb3NaTi
_chemical_formula_sum 'Rb3 Na1 Ti1'
_symmetry_space_group_name_H-M 'P m -3 m'
_symmetry_Int_Tables_number 221
_symmetry_space_group_name_Hall '-P 4 2 3'
_cell_length_a 7.160
_cell_length_b 7.160
_cell_length_c 7.160
_cell_angle_alpha 90.00
_cell_angle_beta 90.00
_cell_angle_gamma 90.00
loop_
_atom_site_label
_atom_site_fract_x
_atom_site_fract_y
_atom_site_fract_z
Rb1 0.000 0.000 0.500
Na1 0.500 0.500 0.500
Ti1 0.000 0.000 0.000
```

## Properties
For the energy, the calculation gives -1.59 eV/atom. Its calculated formation energy is 0.83 eV/atom. As for the crystal system: cubic.



No. 4
This record from the Alexandria database describes RbNa2TiV after structural relaxation. The functional is PBE-GGA.

Geometry as CIF:
```
data_RbNa2TiV
_chemical_formula_sum 'Rb1 Na2 Ti1 V1'
_symmetry_space_group_name_H-M 'P 4/m m m'
_symmetry_Int_Tables_number 123
_symmetry_space_group_name_Hall '-P 4 2'
_cell_length_a 5.852
_cell_length_b 5.852
_cell_length_c 6.197
_cell_angle_alpha 90.00
_cell_angle_beta 90.00
_cell_angle_gamma 90.00
loop_
_atom_site_label
_atom_site_fract_x
_atom_site_fract_y
_atom_site_fract_z
Rb1 0.000 0.000 0.000
Na1 0.000 0.500 0.500
Ti1 0.500 0.500 0.000
V1 0.000 0.000 0.500
```

## Properties
For the energy, the calculation gives -2.44 eV/atom. Its calculated formation energy is 1.69 eV/atom. As for the crystal system: tetragonal.



No. 5
This record from the Alexandria database describes RbNaTl after structural relaxation. The functional is PBE-GGA.

Geometry as CIF:
```
data_RbNaTl
_chemical_formula_sum 'Rb4 Na4 Tl4'
_symmetry_space_group_name_H-M 'C 1 2/m 1'
_symmetry_Int_Tables_number 12
_cell_length_a 13.962
_cell_length_b 5.596
_cell_length_c 6.817
_cell_angle_alpha 90.00
_cell_angle_beta 95.76
_cell_angle_gamma 90.00
loop_
_symmetry_equiv_pos_as_xyz
'x,y,z'
'-x,-y,-z'
'-x,y,-z'
'x,-y,z'
'x+1/2,y+1/2,z'
'-x+1/2,-y+1/2,-z'
'-x+1/2,y+1/2,-z'
'x+1/2,-y+1/2,z'
loop_
_atom_site_label
_atom_site_fract_x
_atom_site_fract_y
_atom_site_fract_z
Rb1 0.000 0.000 0.000
Rb2 0.000 0.500 0.500
Na1 0.228 0.000 0.632
Tl1 0.225 0.500 0.885
```

## Properties
For the energy, the calculation gives -1.60 eV/atom. Its calculated formation energy is -0.05 eV/atom. As for the crystal system: monoclinic.



No. 6
This record from the Alexandria database describes RbNa6Tl2 after structural relaxation. The functional is PBE-GGA.

Geometry as CIF:
```
data_RbNa6Tl2
_chemical_formula_sum 'Rb2 Na12 Tl4'
_symmetry_space_group_name_H-M 'C 1 2/m 1'
_symmetry_Int_Tables_number 12
_cell_length_a 12.422
_cell_length_b 6.035
_cell_length_c 10.405
_cell_angle_alpha 90.00
_cell_angle_beta 124.72
_cell_angle_gamma 90.00
loop_
_symmetry_equiv_pos_as_xyz
'x,y,z'
'-x,-y,-z'
'-x,y,-z'
'x,-y,z'
'x+1/2,y+1/2,z'
'-x+1/2,-y+1/2,-z'
'-x+1/2,y+1/2,-z'
'x+1/2,-y+1/2,z'
loop_
_atom_site_label
_atom_site_fract_x
_atom_site_fract_y
_atom_site_fract_z
Rb1 0.000 0.000 0.000
Na1 0.115 0.000 0.444
Na2 0.154 0.500 0.650
Na3 0.242 0.500 0.107
Tl1 0.065 0.500 0.266
```

## Properties
For the energy, the calculation gives -1.54 eV/atom. Its calculated formation energy is -0.03 eV/atom. As for the crystal system: monoclinic.



No. 7
This record from the Alexandria database describes RbNa2Tl after structural relaxation. The functional is PBE-GGA.

Geometry as CIF:
```
data_RbNa2Tl
_chemical_formula_sum 'Rb4 Na8 Tl4'
_symmetry_space_group_name_H-M 'P 1 21/c 1'
_symmetry_Int_Tables_number 14
_cell_length_a 9.260
_cell_length_b 7.263
_cell_length_c 12.328
_cell_angle_alpha 90.00
_cell_angle_beta 127.51
_cell_angle_gamma 90.00
loop_
_symmetry_equiv_pos_as_xyz
'x,y,z'
'-x,-y,-z'
'-x,y+1/2,-z+1/2'
'x,-y+1/2,z+1/2'
loop_
_atom_site_label
_atom_site_fract_x
_atom_site_fract_y
_atom_site_fract_z
Rb1 0.096 0.075 0.386
Na1 0.404 0.677 0.377
Na2 0.419 0.201 0.287
Tl1 0.181 0.583 0.535
```

## Properties
For the energy, the calculation gives -1.51 eV/atom. Its calculated formation energy is -0.02 eV/atom. As for the crystal system: monoclinic.



No. 8
This record from the Alexandria database describes RbNa10Tl2 after structural relaxation. The functional is PBE-GGA.

Geometry as CIF:
```
data_RbNa10Tl2
_chemical_formula_sum 'Rb4 Na40 Tl8'
_symmetry_space_group_name_H-M 'C m c m'
_symmetry_Int_Tables_number 63
_symmetry_space_group_name_Hall '-C 2c 2'
_cell_length_a 11.857
_cell_length_b 13.650
_cell_length_c 11.707
_cell_angle_alpha 90.00
_cell_angle_beta 90.00
_cell_angle_gamma 90.00
loop_
_atom_site_label
_atom_site_fract_x
_atom_site_fract_y
_atom_site_fract_z
Rb1 0.000 0.125 0.250
Na1 0.000 0.165 0.593
Na2 0.000 0.380 0.055
Na3 0.149 0.376 0.750
Na4 0.225 0.000 0.000
Na5 0.231 0.358 0.250
Tl1 0.250 0.250 0.000
```

## Properties
For the energy, the calculation gives -1.50 eV/atom. Its calculated formation energy is -0.05 eV/atom. As for the crystal system: orthorhombic.



No. 9
This record from the Alexandria database describes RbNa2Tl2 after structural relaxation. The functional is PBE-GGA.

Geometry as CIF:
```
data_RbNa2Tl2
_chemical_formula_sum 'Rb2 Na4 Tl4'
_symmetry_space_group_name_H-M 'C 1 2/m 1'
_symmetry_Int_Tables_number 12
_cell_length_a 5.950
_cell_length_b 9.100
_cell_length_c 7.590
_cell_angle_alpha 90.00
_cell_angle_beta 90.12
_cell_angle_gamma 90.00
loop_
_symmetry_equiv_pos_as_xyz
'x,y,z'
'-x,-y,-z'
'-x,y,-z'
'x,-y,z'
'x+1/2,y+1/2,z'
'-x+1/2,-y+1/2,-z'
'-x+1/2,y+1/2,-z'
'x+1/2,-y+1/2,z'
loop_
_atom_site_label
_atom_site_fract_x
_atom_site_fract_y
_atom_site_fract_z
Rb1 0.000 0.000 0.000
Na1 0.000 0.173 0.500
Tl1 0.001 0.500 0.295
```

## Properties
For the energy, the calculation gives -1.64 eV/atom. Its calculated formation energy is 0.03 eV/atom. As for the crystal system: monoclinic.



No. 10
This record from the Alexandria database describes RbNaTl after structural relaxation. The functional is PBE-GGA.

Geometry as CIF:
```
data_RbNaTl
_chemical_formula_sum 'Rb1 Na1 Tl1'
_symmetry_space_group_name_H-M 'P 3 m 1'
_symmetry_Int_Tables_number 156
_cell_length_a 5.9032
_cell_length_b 5.9032
_cell_length_c 4.1762
_cell_angle_alpha 90.00
_cell_angle_beta 90.00
_cell_angle_gamma 120.00
loop_
_symmetry_equiv_pos_as_xyz
'x,y,z'
'-y,x-y,z'
'-x+y,-x,z'
'-y,-x,z'
'-x+y,y,z'
'x,x-y,z'
loop_
_atom_site_label
_atom_site_fract_x
_atom_site_fract_y
_atom_site_fract_z
Rb1 0.0000 0.0000 0.0000
Na1 0.3333 0.6667 0.4975
Tl1 0.6667 0.3333 0.5021
```

## Properties
For the energy, the calculation gives -1.54 eV/atom. Its calculated formation energy is 0.01 eV/atom. As for the crystal system: trigonal.